Entry 1:
An optimized crystal structure of ZrMn2HOs, computed with GGA-PBE.

```
5
Lattice="3.806 0.000 0.000 0.000 3.806 0.000 0.000 0.000 4.300" Properties=species:S:1:pos:R:3 pbc="T T T"
Zr 0.000 0.000 0.000
Mn 0.000 1.903 2.150
Mn 1.903 0.000 2.150
H 0.000 0.000 2.150
Os 1.903 1.903 0.000
```

final energy	-8.31	eV/atom
symmetry	P4/mmm (123)

***

Entry 2:
An optimized crystal structure of Mn2PH, computed with GGA-PBE.

```
16
Lattice="5.401 0.000 0.000 0.000 5.401 0.000 0.000 0.000 5.265" Properties=species:S:1:pos:R:3 pbc="T T T"
Mn 0.931 1.350 0.658
Mn 1.350 3.631 1.974
Mn 1.350 4.470 4.607
Mn 1.770 1.350 3.291
Mn 3.631 4.051 3.291
Mn 4.051 0.931 4.607
Mn 4.051 1.770 1.974
Mn 4.470 4.051 0.658
P 0.000 0.000 2.633
P 0.000 2.700 3.949
P 2.700 0.000 1.316
P 2.700 2.700 0.000
H 0.000 0.000 0.000
H 0.000 2.700 1.316
H 2.700 0.000 3.949
H 2.700 2.700 2.633
```

ΔE to the lowest computed polymorph	0	meV/atom
symmetry	I-42d (122)

***

Entry 3:
An optimized crystal structure of Mn3PH, computed with GGA-PBE.

```
5
Lattice="3.609 0.000 0.000 0.000 3.609 0.000 0.000 0.000 3.609" Properties=species:S:1:pos:R:3 pbc="T T T"
Mn 0.000 0.000 1.805
Mn 0.000 1.805 0.000
Mn 1.805 0.000 0.000
P 1.805 1.805 1.805
H 0.000 0.000 0.000
```

ΔE to the lowest computed polymorph	0	meV/atom
symmetry	Pm-3m (221)

***

Entry 4:
An optimized crystal structure of MnP3H, computed with GGA-PBE.

```
5
Lattice="4.303 0.000 0.000 0.000 4.303 0.000 0.000 0.000 4.303" Properties=species:S:1:pos:R:3 pbc="T T T"
Mn 0.000 0.000 0.000
P 0.000 0.000 2.151
P 0.000 2.151 0.000
P 2.151 0.000 0.000
H 2.151 2.151 2.151
```

ΔE to the lowest computed polymorph	0	meV/atom
symmetry	Pm-3m (221)

***

Entry 5:
An optimized crystal structure of Mn2PH, computed with GGA-PBE.

```
16
Lattice="5.394 0.000 0.000 0.000 5.394 0.000 0.000 0.000 5.394" Properties=species:S:1:pos:R:3 pbc="T T T"
Mn 1.348 1.348 1.348
Mn 1.348 1.348 4.045
Mn 1.348 4.045 1.348
Mn 1.348 4.045 4.045
Mn 4.045 1.348 1.348
Mn 4.045 1.348 4.045
Mn 4.045 4.045 1.348
Mn 4.045 4.045 4.045
P 0.000 0.000 0.000
P 0.000 2.697 2.697
P 2.697 0.000 2.697
P 2.697 2.697 0.000
H 0.000 0.000 2.697
H 0.000 2.697 0.000
H 2.697 0.000 0.000
H 2.697 2.697 2.697
```

ΔE to the lowest computed polymorph	147	meV/atom
symmetry	Fm-3m (225)

***

Entry 6:
An optimized crystal structure of MnP3H, computed with GGA-PBE.

```
5
Lattice="3.810 0.000 0.000 0.000 3.810 0.000 0.000 0.000 3.810" Properties=species:S:1:pos:R:3 pbc="T T T"
Mn 0.000 0.000 0.000
P 0.000 1.905 1.905
P 1.905 0.000 1.905
P 1.905 1.905 0.000
H 1.905 1.905 1.905
```

ΔE to the lowest computed polymorph	43	meV/atom
symmetry	Pm-3m (221)

***

Entry 7:
An optimized crystal structure of Mn2PH2, computed with GGA-PBE.

```
10
Lattice="2.794 0.000 0.000 0.000 2.794 0.000 0.000 0.000 9.681" Properties=species:S:1:pos:R:3 pbc="T T T"
Mn 0.000 0.000 1.306
Mn 0.000 0.000 8.374
Mn 1.397 1.397 3.534
Mn 1.397 1.397 6.146
P 0.000 0.000 4.840
P 1.397 1.397 0.000
H 0.000 1.397 2.420
H 0.000 1.397 7.260
H 1.397 0.000 2.420
H 1.397 0.000 7.260
```

final energy	-6.21	eV/atom
symmetry	I4/mmm (139)

***

Entry 8:
An optimized crystal structure of MnPH3, computed with GGA-PBE.

```
5
Lattice="3.519 0.000 0.000 0.000 3.519 0.000 0.000 0.000 3.519" Properties=species:S:1:pos:R:3 pbc="T T T"
Mn 0.000 0.000 0.000
P 1.760 1.760 1.760
H 0.000 1.760 1.760
H 1.760 0.000 1.760
H 1.760 1.760 0.000
```

ΔE to the lowest computed polymorph	160	meV/atom
symmetry	Pm-3m (221)

***

Entry 9:
An optimized crystal structure of MnPH3, computed with GGA-PBE.

```
5
Lattice="3.323 0.000 0.000 0.000 3.323 0.000 0.000 0.000 3.323" Properties=species:S:1:pos:R:3 pbc="T T T"
Mn 0.000 0.000 0.000
P 1.661 1.661 1.661
H 0.000 0.000 1.661
H 0.000 1.661 0.000
H 1.661 0.000 0.000
```

ΔE to the lowest computed polymorph	0	meV/atom
symmetry	Pm-3m (221)

***

Entry 10:
An optimized crystal structure of PmMnPH, computed with GGA-PBE.

```
8
Lattice="3.744 0.000 0.000 0.000 3.744 0.000 0.000 0.000 8.297" Properties=species:S:1:pos:R:3 pbc="T T T"
Pm 0.936 0.936 1.449
Pm 2.808 2.808 6.848
Mn 0.936 2.808 4.149
Mn 2.808 0.936 4.149
P 0.936 0.936 5.505
P 2.808 2.808 2.793
H 0.936 2.808 0.000
H 2.808 0.936 0.000
```

final energy	-6.57	eV/atom
symmetry	P4/nmm (129)

***

Entry 11:
An optimized crystal structure of MnP2HRu, computed with GGA-PBE.

```
5
Lattice="4.355 0.000 0.000 0.000 4.355 0.000 0.000 0.000 3.136" Properties=species:S:1:pos:R:3 pbc="T T T"
Mn 0.000 0.000 0.000
P 0.000 2.178 0.000
P 2.178 0.000 0.000
H 0.000 0.000 1.568
Ru 2.178 2.178 1.568
```

final energy	-6.15	eV/atom
symmetry	P4/mmm (123)

***

Entry 12:
An optimized crystal structure of MnPHS2, computed with GGA-PBE.

```
5
Lattice="4.666 0.000 0.000 0.000 4.666 0.000 0.000 0.000 3.155" Properties=species:S:1:pos:R:3 pbc="T T T"
Mn 0.000 0.000 0.000
P 2.333 2.333 0.000
H 2.333 2.333 1.577
S 0.000 2.333 1.577
S 2.333 0.000 1.577
```

ΔE to the lowest computed polymorph	0	meV/atom
symmetry	P4/mmm (123)